(1)
Entry from Alexandria via LeMat-Bulk: ErGa7Fe5 after structural relaxation (PBE).

abc: 5.0555 6.6095 6.6095
angles: 81.83 67.52 67.52
Last column: magnetic moment on the atom in μB.
Sites, in units of the cell vectors:
Fe (0.0027, 0.5004, 0.0021)  1.89
Fe (0.4948, 0.0021, 0.5004)  1.89
Fe (0.4948, 0.5004, 0.0021)  1.89
Fe (0.0027, 0.0021, 0.5004)  1.89
Fe (0.7401, 0.7599, 0.7599)  2.34
Ga (0.2699, 0.2301, 0.2301)  -0.04
Ga (0.9910, 0.3477, 0.6702)  -0.05
Ga (0.6607, 0.3393, 0.3393)  -0.02
Ga (0.5065, 0.7917, 0.1952)  -0.05
Ga (0.5065, 0.1952, 0.7917)  -0.05
Ga (0.9910, 0.6702, 0.3477)  -0.05
Ga (0.3347, 0.6653, 0.6653)  -0.03
Er (0.0044, 0.9956, 0.9956)  -0.15

Results
The calculation puts the volume at 14.50 Å³ per atom. For the size of the total moment, the calculation gives 9.5 μB per cell. The value obtained for the total DFT energy (no corrections) is -71.9 eV/cell. The formation energy is -0.296 eV/atom.



(2)
Entry from Alexandria via LeMat-Bulk: Er2Ga8Fe after structural relaxation (PBE).

abc: 4.2079 4.2079 11.1363
angles: 90.00 90.00 90.00
Sites, in units of the cell vectors:
Ga (0.5000, 0.5000, 0.6934)
Ga (0.5000, 0.0000, 0.8842)
Ga (0.0000, 0.5000, 0.5000)
Ga (0.5000, 0.5000, 0.3066)
Ga (0.5000, 0.0000, 0.5000)
Ga (0.0000, 0.5000, 0.8842)
Ga (0.0000, 0.5000, 0.1158)
Ga (0.5000, 0.0000, 0.1158)
Fe (0.0000, 0.0000, 0.0000)
Er (0.0000, 0.0000, 0.3054)
Er (0.0000, 0.0000, 0.6946)

Results
The calculation puts the volume at 17.93 Å³ per atom. For the size of the total moment, the calculation gives 0.0 μB per cell. The value obtained for the total DFT energy (no corrections) is -46.6 eV/cell. The formation energy is -0.438 eV/atom.



(3)
Entry from Alexandria via LeMat-Bulk: ErGa4Fe after structural relaxation (PBE).

abc: 4.7036 6.3511 8.2972
angles: 112.50 106.46 90.00
Last column: magnetic moment on the atom in μB.
Sites, in units of the cell vectors:
Fe (0.7396, 0.5001, 0.0002)  1.52
Fe (0.2604, 0.4999, 0.9998)  1.52
Ga (0.6095, 0.8688, 0.2190)  -0.02
Ga (0.3905, 0.1312, 0.7810)  -0.02
Ga (0.8444, 0.3450, 0.6901)  -0.03
Ga (0.1556, 0.6550, 0.3099)  -0.03
Ga (0.0000, 0.1827, 0.0000)  -0.03
Ga (0.3905, 0.6498, 0.7810)  -0.02
Ga (0.0000, 0.8173, 0.0000)  -0.03
Ga (0.6095, 0.3502, 0.2190)  -0.02
Er (0.7925, 0.7924, 0.5848)  0.02
Er (0.2075, 0.2076, 0.4152)  0.02

Results
The calculation puts the volume at 18.16 Å³ per atom. For the size of the total moment, the calculation gives 2.9 μB per cell. The value obtained for the total DFT energy (no corrections) is -53.8 eV/cell. The formation energy is -0.297 eV/atom.